# 1
4
Lattice="-1.2006 1.7308 1.7848 2.4762 -1.4731 3.0944 4.2655 3.3974 -1.7960" Properties=species:S:1:pos:R:3 comment="PBEsol Ta2ReAg, optimized geometry" magnetic_moment_mub_per_atom=0.000 formation_enthalpy_0k_ev_per_atom=0.132 spacegroup="P2/m, No. 10" volume_a3_per_atom=16.6 pbc="T T T"
Ag 0.6378 0.1289 2.4396
Ta 1.0387 1.0384 -0.3368
Re 2.7705 1.8276 1.5416
Ta 2.0262 4.0898 0.3256

---

# 2
4
Lattice="-1.2488 -2.4768 1.6256 2.9778 0.6944 3.3455 -2.9284 2.8050 2.0244" Properties=species:S:1:pos:R:3 comment="PBEsol Ta2ReAg, optimized geometry" magnetic_moment_mub_per_atom=0.000 formation_enthalpy_0k_ev_per_atom=0.122 spacegroup="P4/mmm, No. 123" volume_a3_per_atom=16.5 pbc="T T T"
Re -0.6244 -1.2384 0.8128
Ag -0.5997 0.5113 3.4977
Ta -1.4642 1.4025 1.0122
Ta 1.4889 0.3472 1.6728

---

# 3
4
Lattice="3.1905 0.1378 0.2003 -0.2317 4.5036 0.6119 -0.2317 -1.0391 4.4246" Properties=species:S:1:pos:R:3 comment="PBEsol Ta2ReAg, optimized geometry" magnetic_moment_mub_per_atom=0.000 formation_enthalpy_0k_ev_per_atom=0.122 spacegroup="Cmmm, No. 65" volume_a3_per_atom=16.5 pbc="T T T"
Ag 1.3635 1.8011 2.6184
Re 1.5952 0.0689 0.1002
Ta -0.1159 -0.5196 2.2123
Ta -0.1159 2.2518 0.3059

---

# 4
4
Lattice="-1.5519 1.3813 2.5142 -2.8144 -3.4956 0.1832 4.9931 -1.0535 1.5454" Properties=species:S:1:pos:R:3 comment="PBEsol Ta2ReAg, optimized geometry" magnetic_moment_mub_per_atom=0.000 formation_enthalpy_0k_ev_per_atom=0.213 spacegroup="Imm2, No. 44" volume_a3_per_atom=16.7 pbc="T T T"
Ag -2.1427 -1.0876 1.3904
Re 0.0664 -2.8547 1.6093
Ta 0.5947 -0.3390 2.6688
Ta 0.5518 -3.1116 4.1656

---

# 5
4
Lattice="-0.3714 -0.2494 -2.8439 -3.8498 -2.2745 0.7022 -0.2336 5.2171 1.0302" Properties=species:S:1:pos:R:3 comment="PBEsol ReTc2Ag, optimized geometry" magnetic_moment_mub_per_atom=0.000 formation_enthalpy_0k_ev_per_atom=0.547 spacegroup="Imm2, No. 44" volume_a3_per_atom=15.0 pbc="T T T"
Re -3.1918 1.0003 0.3291
Tc -0.0076 0.0129 -0.0001
Tc -1.2604 1.6886 -1.4406
Ag -2.3391 3.9467 -0.0406

---

# 6
4
Lattice="-0.0160 -2.5272 1.4574 4.4765 0.3483 0.6531 -2.9742 3.3421 2.8427" Properties=species:S:1:pos:R:3 comment="PBEsol ReTc2Ag, optimized geometry" magnetic_moment_mub_per_atom=0.000 formation_enthalpy_0k_ev_per_atom=0.560 spacegroup="Immm, No. 71" volume_a3_per_atom=15.1 pbc="T T T"
Tc 1.8933 -0.0692 2.8207
Re 2.2383 0.1741 0.3266
Ag -0.0080 -1.2636 0.7287
Tc -0.4070 1.2324 2.1325

---

# 7
4
Lattice="2.7442 0.0000 0.0000 0.0000 4.7341 0.0016 0.0000 -1.5477 4.4740" Properties=species:S:1:pos:R:3 comment="PBEsol ReTc2Ag, optimized geometry" magnetic_moment_mub_per_atom=0.000 formation_enthalpy_0k_ev_per_atom=0.430 spacegroup="Cmmm, No. 65" volume_a3_per_atom=14.5 pbc="T T T"
Tc 0.0000 -0.7739 2.2370
Re 1.3721 1.5932 2.2378
Tc 0.0000 2.3671 0.0008
Ag 1.3721 0.0000 0.0000

---

# 8
4
Lattice="3.8226 0.0000 0.0000 0.0000 3.8910 0.0000 0.0000 0.0000 3.8910" Properties=species:S:1:pos:R:3 comment="PBEsol ReTc2Ag, optimized geometry" magnetic_moment_mub_per_atom=0.000 formation_enthalpy_0k_ev_per_atom=0.471 spacegroup="P4/mmm, No. 123" volume_a3_per_atom=14.5 pbc="T T T"
Ag 1.9113 1.9455 1.9455
Re 1.9113 0.0000 0.0000
Tc 0.0000 1.9455 0.0000
Tc 0.0000 0.0000 1.9455